No. 1
# HfCr | Alexandria via LeMat-Bulk | PBE-GGA | relaxed
data_HfCr
_cell_length_a 7.3498
_cell_length_b 7.3498
_cell_length_c 4.5542
_cell_angle_alpha 90.00
_cell_angle_beta 90.00
_cell_angle_gamma 120.00
_symmetry_space_group_name_H-M 'P 63/m m c'
_symmetry_Int_Tables_number 194
_symmetry_space_group_name_Hall '-P 6c 2c'
loop_
_atom_site_label
_atom_site_type_symbol
_atom_site_fract_x
_atom_site_fract_y
_atom_site_fract_z
Hf1 Hf 0.1714 0.3428 0.2500
Cr1 Cr 0.1330 0.5665 0.7500
# E: -0.3510 Ha/atom
# calculated formation energy: 0.24 eV/atom



No. 2
# Hf3Cr | Alexandria via LeMat-Bulk | PBE-GGA | relaxed
data_Hf3Cr
_cell_length_a 3.326
_cell_length_b 9.601
_cell_length_c 4.887
_cell_angle_alpha 90.00
_cell_angle_beta 90.00
_cell_angle_gamma 90.00
_symmetry_space_group_name_H-M 'I m m 2'
_symmetry_Int_Tables_number 44
loop_
_symmetry_equiv_pos_as_xyz
'x,y,z'
'-x,-y,z'
'-x,y,z'
'x,-y,z'
'x+1/2,y+1/2,z+1/2'
'-x+1/2,-y+1/2,z+1/2'
'-x+1/2,y+1/2,z+1/2'
'x+1/2,-y+1/2,z+1/2'
loop_
_atom_site_label
_atom_site_type_symbol
_atom_site_fract_x
_atom_site_fract_y
_atom_site_fract_z
Hf1 Hf 0.000 0.000 0.000
Hf2 Hf 0.000 0.212 0.507
Cr1 Cr 0.000 0.500 0.957
# E: -0.3589 Ha/atom
# calculated formation energy: 0.11 eV/atom



No. 3
# HfCr | Alexandria via LeMat-Bulk | PBE-GGA | relaxed
data_HfCr
_cell_length_a 5.977
_cell_length_b 5.977
_cell_length_c 5.977
_cell_angle_alpha 90.00
_cell_angle_beta 90.00
_cell_angle_gamma 90.00
_symmetry_space_group_name_H-M 'F -4 3 m'
_symmetry_Int_Tables_number 216
_symmetry_space_group_name_Hall 'F -4 2 3'
loop_
_atom_site_label
_atom_site_type_symbol
_atom_site_fract_x
_atom_site_fract_y
_atom_site_fract_z
Hf1 Hf 0.000 0.000 0.000
Cr1 Cr 0.250 0.250 0.250
# E: -0.2807 Ha/atom
# calculated formation energy: 2.15 eV/atom